First-principles (PBE) data for an optimized crystal structure of AcPrHoAl, as listed in the Alexandria database.

Properties
ΔE_f, eV per atom: 0.07
Total moment, μB per formula unit: 0.0
Calculated volume, Å³/f.u.: 122.8

a = 5.5798 Å, b = 5.5798 Å, c = 5.5798 Å
α = 60.00°, β = 60.00°, γ = 60.00°
With the nearest neighbours (Å) after each atom.
Fractional positions:
Ac  0.0000  0.0000  0.0000  4 Ho 3.42, 4 Pr 3.42
Pr  0.2500  0.2500  0.2500  4 Ac 3.42, 4 Al 3.42
Ho  0.7500  0.7500  0.7500  4 Ac 3.42, 4 Al 3.42
Al  0.5000  0.5000  0.5000  4 Ho 3.42, 4 Pr 3.42